Entry 1:
This record from the Alexandria database describes Sc2TcCl after structural relaxation. The functional is PBE-GGA.

Calculated values
- Magnetization: 0.00 μB/cell
- Formation energy from raw total energies: -0.3 eV/f.u.
- Electronic total energy: -50.45 eV per cell
- Mass density: 5.0 g cm⁻³
- Polymorph energy (0 for the lowest one): 69.3 kJ/mol of atoms

Cell: 3.742 3.742 10.527 Å, 90.00 90.00 90.00°
Space group I-4m2 (No. 119)
Inequivalent atoms, fractional coordinates:
Sc  0.000  0.000  0.000 [2 per cell]
Sc  0.000  0.500  0.250 [2 per cell]
Tc  0.000  0.500  0.750 [2 per cell]
Cl  0.000  0.000  0.500 [2 per cell]

=====

Entry 2:
This record from the Alexandria database describes ScTc2Cl after structural relaxation. The functional is PBE-GGA.

Calculated values
- Magnetization: 0.00 μB/cell
- Formation energy from raw total energies: 1.8 eV/f.u.
- Electronic total energy: -54.28 eV per cell
- Mass density: 7.0 g cm⁻³
- Polymorph energy (0 for the lowest one): 77.0 kJ/mol of atoms

Cell: 4.390 4.390 6.793 Å, 90.00 90.00 90.00°
Space group I-4m2 (No. 119)
Inequivalent atoms, fractional coordinates:
Sc  0.000  0.000  0.000 [2 per cell]
Tc  0.000  0.000  0.500 [2 per cell]
Tc  0.000  0.500  0.750 [2 per cell]
Cl  0.000  0.500  0.250 [2 per cell]

=====

Entry 3:
This record from the Alexandria database describes ScTc2Cl after structural relaxation. The functional is PBE-GGA.

Calculated values
- Magnetization: 0.00 μB/cell
- Formation energy from raw total energies: -1.4 eV/f.u.
- Electronic total energy: -60.67 eV per cell
- Mass density: 6.6 g cm⁻³
- Polymorph energy (0 for the lowest one): 0.0 kJ/mol of atoms

Cell: 3.040 3.061 14.926 Å, 90.00 90.00 90.00°
Space group Amm2 (No. 38)
Inequivalent atoms, fractional coordinates:
Sc  0.000  0.000  0.000 [2 per cell]
Tc  0.000  0.000  0.779 [2 per cell]
Tc  0.500  0.000  0.371 [2 per cell]
Cl  0.500  0.000  0.622 [2 per cell]

=====

Entry 4:
This record from the Alexandria database describes Sc2TcCl after structural relaxation. The functional is PBE-GGA.

Calculated values
- Magnetization: 0.00 μB/cell
- Formation energy from raw total energies: -1.6 eV/f.u.
- Electronic total energy: -52.95 eV per cell
- Mass density: 4.9 g cm⁻³
- Polymorph energy (0 for the lowest one): 39.2 kJ/mol of atoms

Cell: 7.272 7.038 3.086 Å, 90.00 107.53 90.00°
Space group C2/m (No. 12)
Inequivalent atoms, fractional coordinates:
Sc  0.250  0.250  0.000 [4 per cell]
Tc  0.000  0.000  0.500 [2 per cell]
Cl  0.000  0.500  0.500 [2 per cell]